[1]
Be3CrS | PBE-GGA | relaxed

As for the density of states at the Fermi level: 7.81 states/eV per cell. The offset from the most stable computed form comes out at 0.000 eV/atom. As for the formation energy without anion corrections: 1.07 eV/atom.

The structure belongs to space group Pm-3m (No. 221); the cell edges are 3.9572, 3.9572 and 3.9572 Å and the angles 90.00°, 90.00° and 90.00°. The inequivalent atoms are Be at (0.0000, 0.0000, 0.5000), Cr at (0.5000, 0.5000, 0.5000) and S at (0.0000, 0.0000, 0.0000).

***

[2]
TlTcSb2 | PBE-GGA | relaxed

As for the density of states at the Fermi level: 2.21 states/eV per cell. The offset from the most stable computed form comes out at 0.001 eV/atom. As for the formation energy without anion corrections: 0.02 eV/atom.

The structure belongs to space group P2/m (No. 10); the cell edges are 3.2408, 3.2491 and 9.7461 Å and the angles 90.00°, 90.08° and 90.00°. The inequivalent atoms are Tl at (0.0000, 0.0000, 0.0000), Tc at (0.5000, 0.0000, 0.5000) and Sb at (0.0007, 0.5000, 0.6687).

***

[3]
Sm7Sc2Cd2 | PBE-GGA | relaxed

As for the density of states at the Fermi level: 32.66 states/eV per cell. For the calculated formation energy, the calculation gives 0.20 eV per atom.

The structure belongs to space group Cmmm (No. 65); the cell edges are 6.6389, 11.6790 and 9.1332 Å and the angles 90.00°, 90.00° and 90.00°. The inequivalent atoms are Sm at (0.0000, 0.0000, 0.0000), Sm at (0.0000, 0.5000, 0.2106), Sm at (0.2500, 0.2500, 0.3110), Sc at (0.0000, 0.2796, 0.0000) and Cd at (0.2144, 0.0000, 0.5000).

***

[4]
KBaPb2 | PBE-GGA | relaxed

As for the density of states at the Fermi level: 3.57 states/eV per cell. For the calculated formation energy, the calculation gives -0.18 eV per atom. The offset from the most stable computed form comes out at 0.202 eV/atom.

The structure belongs to space group C2/m (No. 12); the cell edges are 11.9390, 3.8932 and 7.9395 Å and the angles 90.00°, 104.36° and 90.00°. The inequivalent atoms are K at (0.0000, 0.0000, 0.0000), Ba at (0.0000, 0.5000, 0.5000) and Pb at (0.2410, 0.5000, 0.3190).